(1)
MgNiMo3 after structural relaxation, computed with PBE-GGA.

The crystal system is cubic. Its relative energy among the computed polymorphs is 1.1179 eV/atom. The calculation puts the uncorrected energy at -0.4155 Ry/atom. For the magnetic moment, the calculation gives 0.00 μB/cell. As for the energy of formation from the pure elements: 2321 meV per atom.

The structure belongs to space group Pm-3m (No. 221); the cell edges are 4.510, 4.510 and 4.510 Å and the angles 90.00°, 90.00° and 90.00°. The asymmetric unit holds Mg at (0.000, 0.000, 0.000), Ni at (0.500, 0.500, 0.500) and Mo at (0.000, 0.000, 0.500).



(2)
MnIn2Pt after structural relaxation, computed with PBE-GGA.

The crystal system is trigonal. The calculation puts the uncorrected energy at -0.3764 Ry/atom. For the magnetic moment, the calculation gives 9.39 μB/cell. As for the energy of formation from the pure elements: 50 meV per atom.

The structure belongs to space group R-3m (No. 166, hexagonal axes); the cell edges are 3.1215, 3.1215 and 26.4096 Å and the angles 90.00°, 90.00° and 120.00°. The asymmetric unit holds Mn at (0.0000, 0.0000, 0.0000), In at (0.0000, 0.0000, 0.2497) and Pt at (0.0000, 0.0000, 0.5000).



(3)
Li2AsWCl after structural relaxation, computed with PBE-GGA.

The crystal system is tetragonal. The calculation puts the uncorrected energy at -0.2649 Ry/atom. For the magnetic moment, the calculation gives 5.14 μB/cell. The value obtained for the energy relative to the elements, uncorrected is 1.0509 eV/atom.

The structure belongs to space group P4/mmm (No. 123); the cell edges are 4.764, 4.764 and 5.336 Å and the angles 90.00°, 90.00° and 90.00°. The asymmetric unit holds Li at (0.000, 0.500, 0.000), As at (0.000, 0.000, 0.000), W at (0.500, 0.500, 0.500) and Cl at (0.000, 0.000, 0.500).



(4)
Te3Rh3I after structural relaxation, computed with PBE-GGA.

The crystal system is orthorhombic. The calculation puts the uncorrected energy at -0.3563 Ry/atom. For the magnetic moment, the calculation gives 0.00 μB/cell. The value obtained for the energy relative to the elements, uncorrected is -0.1299 eV/atom.

The structure belongs to space group Cmcm (No. 63); the cell edges are 7.723, 18.343 and 5.319 Å and the angles 90.00°, 90.00° and 90.00°. The asymmetric unit holds Te at (0.000, 0.133, 0.250), Te at (0.224, 0.438, 0.250), Rh at (0.000, 0.141, 0.750), Rh at (0.186, 0.422, 0.750) and I at (0.000, 0.294, 0.750).



(5)
Nd6SiIr2Cl3 after structural relaxation, computed with PBE-GGA.

The crystal system is monoclinic. The calculation puts the uncorrected energy at -0.4366 Ry/atom. For the magnetic moment, the calculation gives 0.00 μB/cell. The value obtained for the energy relative to the elements, uncorrected is -1.1657 eV/atom.

The structure belongs to space group C2/m (No. 12); the cell edges are 19.123, 4.159 and 8.832 Å and the angles 90.00°, 106.92° and 90.00°. The asymmetric unit holds Nd at (0.015, 0.000, 0.241), Nd at (0.161, 0.500, 0.118), Nd at (0.176, 0.500, 0.564), Si at (0.000, 0.500, 0.000), Ir at (0.169, 0.000, 0.339), Cl at (0.000, 0.500, 0.500) and Cl at (0.158, 0.000, 0.838).



(6)
HfTaBeAs2 after structural relaxation, computed with PBE-GGA.

The crystal system is tetragonal. The calculation puts the uncorrected energy at -0.4659 Ry/atom. For the magnetic moment, the calculation gives 0.00 μB/cell. As for the energy of formation from the pure elements: 628 meV per atom.

The structure belongs to space group P4/mmm (No. 123); the cell edges are 4.420, 4.420 and 4.511 Å and the angles 90.00°, 90.00° and 90.00°. The asymmetric unit holds Hf at (0.000, 0.000, 0.000), Ta at (0.500, 0.500, 0.000), Be at (0.000, 0.000, 0.500) and As at (0.000, 0.500, 0.500).